# 1
Material: KMgRe2
Method: DFT, PBE
State: relaxed

extended XYZ file:
```
4
Lattice="1.5276 -2.3481 0.0000 1.5276 2.3481 0.0000 0.0000 0.0000 10.8034" Properties=species:S:1:pos:R:3 pbc="T T T"
K 0.0000 0.0000 0.0000
Mg 1.5276 0.0000 3.3672
Re 0.0000 0.0000 5.7578
Re 1.5276 0.0000 7.8635
```

## Properties
Energy relative to the lowest polymorph listed for this composition (kJ/mol of atoms): 17.69
Mass density (g cm⁻³): 9.337


# 2
Material: KMgRe2
Method: DFT, PBE
State: relaxed

extended XYZ file:
```
4
Lattice="2.8246 0.0000 0.0000 0.0000 4.8320 0.0000 0.0000 0.0000 5.4153" Properties=species:S:1:pos:R:3 pbc="T T T"
K 0.0000 0.0000 0.0000
Mg 1.4123 2.4160 0.0000
Re 0.0000 2.4160 2.7077
Re 1.4123 0.0000 2.7077
```

## Properties
Energy relative to the lowest polymorph listed for this composition (kJ/mol of atoms): 65.94
Mass density (g cm⁻³): 9.791


How do the records compare in total energy? In the order shown, they have -6.17; -5.67 eV/atom.
How do the records compare in ΔE_f? In the order shown, they have 0.73; 1.23 eV per atom.